## Ni2MoRuO6 (PBE with a Hubbard U)

Data for crystalline Ni2MoRuO6 at its relaxed geometry.

a b c (Å): 5.834 5.834 3.775
angles (deg): 90.00 90.00 90.00
Atoms (fractional coordinates):
Ni1 0.000 0.500 0.000
Ni2 0.500 0.000 0.000
Mo1 0.000 0.000 0.994
Ru1 0.500 0.500 0.995
O1 0.000 0.000 0.495
O2 0.249 0.249 0.996
O3 0.249 0.751 0.996
O4 0.500 0.500 0.496
O5 0.751 0.249 0.996
O6 0.751 0.751 0.996

symmetry	P4mm (99)
E_tot	-5.975	eV per atom